No. 1
Below is a relaxed structure of ErZr3Sb3, with properties calculated at the PBE level.

Values from the calculation:
- raw total energy (eV per atom) = -6.535
- magnetization (μB per atom) = 0.0000
- formation energy without anion corrections (kJ/mol of formula units) = -306

abc: 7.9071 7.9071 8.8329
angles: 63.41 63.41 60.00
Sites, in units of the cell vectors:
1 Er 0.3383 0.3383 0.9852
2 Er 0.6617 0.6617 0.0148
3 Zr 0.3748 0.8622 0.6288
4 Zr 0.8622 0.1342 0.6288
5 Zr 0.1342 0.3748 0.6288
6 Zr 0.8658 0.6252 0.3712
7 Zr 0.1378 0.8658 0.3712
8 Zr 0.6252 0.1378 0.3712
9 Sb 0.3047 0.5210 0.2430
10 Sb 0.9313 0.3047 0.2430
11 Sb 0.5210 0.9313 0.2430
12 Sb 0.4790 0.0687 0.7570
13 Sb 0.0687 0.6953 0.7570
14 Sb 0.6953 0.4790 0.7570



No. 2
Below is a relaxed structure of KBaSr2Cd, with properties calculated at the PBE level.

Values from the calculation:
- calculated formation energy (eV/atom) = 0.05
- raw total energy (eV per atom) = -1.409
- magnetization (μB per atom) = 0.0000
- energy above the most stable polymorph in this dataset (meV per atom) = 71

abc: 6.4993 6.4993 6.7494
angles: 90.00 90.00 90.00
Sites, in units of the cell vectors:
1 Sr 0.0000 0.5000 0.0000
2 Sr 0.5000 0.0000 0.0000
3 K 0.0000 0.0000 0.5000
4 Ba 0.5000 0.5000 0.5000
5 Cd 0.0000 0.0000 0.0000